{"formula": "LiCaCr2Ag", "functional": "PBE", "state": "optimized geometry", "cell": [[4.4099, 0.0000, 0.0000], [0.0000, 4.4099, 0.0000], [0.0000, 0.0000, 5.3000]], "species": ["Li", "Ca", "Cr", "Cr", "Ag"], "frac_coords": [[0.0000, 0.0000, 0.0000], [0.5000, 0.5000, 0.5000], [0.0000, 0.5000, 0.5000], [0.5000, 0.0000, 0.5000], [0.5000, 0.5000, 0.0000]], "formation_energy_kcal_per_mol_atoms": 48.403, "total_magnetization_mub_per_cell": 0.000, "n_ef_per_ev_cell": 7.0, "sg": "P4/mmm", "vol_a3_per_atom": 20.6}

---

{"formula": "Ca2CrAgN", "functional": "PBE", "state": "optimized geometry", "cell": [[5.1307, 0.0000, 0.0000], [0.0000, 5.1307, 0.0000], [0.0000, 0.0000, 3.7936]], "species": ["Ca", "Ca", "Cr", "Ag", "N"], "frac_coords": [[0.0000, 0.5000, 0.0000], [0.5000, 0.0000, 0.0000], [0.0000, 0.0000, 0.5000], [0.5000, 0.5000, 0.5000], [0.0000, 0.0000, 0.0000]], "e_form_raw_ev_per_atom": -0.4252, "total_magnetization_mub_per_cell": 3.008, "n_ef_per_ev_cell": 3.2, "sg": "P4/mmm", "vol_a3_per_atom": 20.0}

---

{"formula": "NaCa2CrAg", "functional": "PBE", "state": "optimized geometry", "cell": [[5.8115, 0.0000, 0.0000], [0.0000, 5.8115, 0.0000], [0.0000, 0.0000, 5.1422]], "species": ["Na", "Ca", "Ca", "Cr", "Ag"], "frac_coords": [[0.0000, 0.0000, 0.0000], [0.0000, 0.5000, 0.5000], [0.5000, 0.0000, 0.5000], [0.5000, 0.5000, 0.5000], [0.5000, 0.5000, 0.0000]], "formation_energy_kcal_per_mol_atoms": 11.856, "total_magnetization_mub_per_cell": 4.315, "n_ef_per_ev_cell": 4.5, "sg": "P4/mmm", "vol_a3_per_atom": 34.7}

---

{"formula": "CaCr2AgRu", "functional": "PBE", "state": "optimized geometry", "cell": [[4.9216, 0.0000, 0.0000], [0.0000, 4.9216, 0.0000], [0.0000, 0.0000, 5.2646]], "species": ["Ca", "Cr", "Cr", "Ag", "Ru"], "frac_coords": [[0.0000, 0.0000, 0.0000], [0.0000, 0.5000, 0.5000], [0.5000, 0.0000, 0.5000], [0.0000, 0.0000, 0.5000], [0.5000, 0.5000, 0.0000]], "formation_energy_kcal_per_mol_atoms": 36.841, "total_magnetization_mub_per_cell": 10.446, "n_ef_per_ev_cell": 8.1, "sg": "P4/mmm", "vol_a3_per_atom": 25.5}